PBE-GGA BaIn2SiMo, relaxed; E_form (uncorrected) = 0.495 eV/atom; raw total energy = -21.176 eV per formula unit
1.0
5.4627 0.0000 0.0000
0.0000 5.4627 0.0000
0.0000 0.0000 5.1516
In Ba Si Mo
2 1 1 1
Direct
0.0000 0.5000 0.0000
0.5000 0.0000 0.0000
0.5000 0.5000 0.5000
0.0000 0.0000 0.0000
0.0000 0.0000 0.5000

---

PBE-GGA MgPtSe3, relaxed; polymorph energy (0 for the lowest one) = 0.0 meV per atom; E_form (uncorrected) = 0.143 eV/atom; raw total energy = -17.376 eV per formula unit
1.0
5.0000 0.0000 0.0000
0.0000 5.0000 0.0000
0.0000 0.0000 5.0000
Mg Se Pt
1 3 1
Direct
0.5000 0.5000 0.5000
0.0000 0.5000 0.0000
0.0000 0.0000 0.5000
0.5000 0.0000 0.0000
0.0000 0.0000 0.0000

---

PBE-GGA Mn4TlIn, relaxed; calculated formation energy = 48 kJ per mole of atoms; raw total energy = -38.797 eV per formula unit
1.0
-4.2967 2.9277 0.9408
-0.9489 4.3092 -2.9065
-3.9903 0.0246 -3.4633
Tl Mn In
1 4 1
Direct
0.7500 0.7500 0.7500
0.8763 0.3746 0.3746
0.3746 0.3746 0.3746
0.3746 0.8763 0.3746
0.3746 0.3746 0.8763
0.0000 0.0000 0.0000

---

PBE-GGA Cu2Te4Au, relaxed; polymorph energy (0 for the lowest one) = 0.0 meV per atom; E_form (uncorrected) = 0.017 eV/atom; raw total energy = -23.915 eV per formula unit
1.0
-6.2698 4.1974 3.1593
-0.9909 0.5233 7.9277
1.2495 6.8084 4.0234
Te Au Cu
8 2 4
Direct
0.7320 0.7491 0.2491
0.2680 0.2509 0.7509
0.2698 0.7491 0.2491
0.7302 0.2509 0.7509
0.7374 0.7612 0.7639
0.2626 0.2388 0.2361
0.7374 0.2639 0.2612
0.2626 0.7361 0.7388
0.5000 0.5000 0.0000
0.0000 0.5000 0.0000
0.5000 0.5000 0.5000
0.5000 0.0000 0.0000
0.8865 0.8635 0.3635
0.1135 0.1365 0.6365

---

PBE-GGA CsFe2PdCl8, relaxed; E_form (uncorrected) = -0.923 eV/atom; raw total energy = -48.823 eV per formula unit
1.0
6.7825 0.0000 0.0000
3.3913 6.9506 0.1139
3.3913 2.7156 8.2075
Cl Fe Cs Pd
8 2 1 1
Direct
0.6568 0.9992 0.2022
0.1417 0.9992 0.2022
0.6806 0.5557 0.0831
0.8535 0.6541 0.6390
0.3194 0.4443 0.9169
0.3432 0.0008 0.7978
0.8583 0.0008 0.7978
0.1465 0.3459 0.3610
0.3114 0.2156 0.1617
0.6886 0.7844 0.8383
0.5000 0.5000 0.5000
0.0000 0.0000 0.0000

---

PBE-GGA Te2IrAu, relaxed; polymorph energy (0 for the lowest one) = 480.0 meV per atom; E_form (uncorrected) = 0.324 eV/atom; raw total energy = -17.125 eV per formula unit
1.0
-3.0768 1.4203 1.1611
0.4016 -1.3509 2.7169
3.8478 6.2573 2.5425
Te Au Ir
2 1 1
Direct
0.0000 0.0000 0.5329
0.0000 0.0000 0.9671
0.5000 0.5000 0.2500
0.5000 0.5000 0.7500